[1]
A geometry-optimized Tb3Au structure. Source: Alexandria, functional PBE.

a b c (Å): 3.7315 5.3150 11.3018
angles (deg): 90.00 90.00 90.00
Last column: nearest neighbours and their distance in Å.
Space group Immm (No. 71)
Unique sites:
1 Tb 0.0000 0.0000 0.0000 (multiplicity 2)  4 Au 3.25, 4 Tb 3.56
2 Tb 0.0000 0.5000 0.2098 (multiplicity 4)  2 Au 3.02, 4 Tb 3.37
3 Au 0.0000 0.0000 0.5000 (multiplicity 2)  8 Tb 3.02-3.25

Computed properties:
Its crystal system is orthorhombic. Its magnetic moment is 0.000 μB per atom. As for the density of states at the Fermi level: 1.16 states/eV per atom. The energy relative to the elements is -37.7 kJ/mol of atoms.


[2]
A geometry-optimized Te2PAu structure. Source: Alexandria, functional PBE.

a b c (Å): 4.1246 4.1246 24.5376
angles (deg): 90.00 90.00 120.00
Last column: nearest neighbours and their distance in Å.
Space group R-3m (No. 166, hexagonal axes)
Unique sites:
1 Te 0.0000 0.0000 0.1058 (multiplicity 6)  1 Au 2.60, 3 P 2.81
2 P 0.0000 0.0000 0.5000 (multiplicity 3)  6 Te 2.81
3 Au 0.0000 0.0000 0.0000 (multiplicity 3)  2 Te 2.60

Computed properties:
The uncorrected formation energy comes out at 0.212 eV per atom. Its crystal system is trigonal. Its magnetic moment is 0.000 μB per atom. As for the density of states at the Fermi level: 0.00 states/eV per atom.


[3]
A geometry-optimized Ti3PtO structure. Source: Alexandria, functional PBE.

a b c (Å): 9.4315 11.5288 5.0718
angles (deg): 90.00 92.96 90.00
Last column: nearest neighbours and their distance in Å.
Space group C2/c (No. 15)
Unique sites:
1 Ti 0.1185 0.1724 0.0567 (multiplicity 8)  1 O 2.10
2 Ti 0.1295 0.4277 0.1022 (multiplicity 8)  3 O 2.09-2.15
3 Ti 0.1304 0.3107 0.5980 (multiplicity 8)  2 O 2.07-2.10
4 Pt 0.1397 0.0632 0.5687 (multiplicity 8)  8 Ti 2.68-2.88, 2 Pt 2.92
5 O 0.0000 0.2979 0.2500 (multiplicity 4)  6 Ti 2.09-2.10
6 O 0.0000 0.4360 0.7500 (multiplicity 4)  6 Ti 2.07-2.15

Computed properties:
The uncorrected formation energy comes out at -1.393 eV per atom. Its crystal system is monoclinic. Its magnetic moment is 0.000 μB per atom. As for the density of states at the Fermi level: 0.70 states/eV per atom.


[4]
A geometry-optimized NaAcBi2 structure. Source: Alexandria, functional PBE.

a b c (Å): 3.7965 3.7965 9.3554
angles (deg): 90.00 90.00 90.00
Last column: nearest neighbours and their distance in Å.
Space group P4/mmm (No. 123)
Unique sites:
1 Na 0.0000 0.0000 0.0000 (multiplicity 1)  8 Bi 3.51, 4 Na 3.80
2 Ac 0.0000 0.0000 0.5000 (multiplicity 1)  8 Bi 3.62, 4 Ac 3.80
3 Bi 0.5000 0.5000 0.2411 (multiplicity 2)  4 Na 3.51, 4 Ac 3.62, 4 Bi 3.80

Computed properties:
Its energy above the most stable polymorph in this dataset is 0.137 eV/atom. Its crystal system is tetragonal. Its magnetic moment is 0.000 μB per atom. As for the density of states at the Fermi level: 0.65 states/eV per atom. The energy relative to the elements is -47.6 kJ/mol of atoms.


[5]
A geometry-optimized EuPdAu2 structure. Source: Alexandria, functional PBE.

a b c (Å): 6.9650 6.9650 6.9650
angles (deg): 90.00 90.00 90.00
Last column: nearest neighbours and their distance in Å.
Space group Fm-3m (No. 225)
Unique sites:
1 Eu 0.0000 0.0000 0.0000 (multiplicity 4)  8 Au 3.02
2 Pd 0.0000 0.0000 0.5000 (multiplicity 4)  8 Au 3.02
3 Au 0.2500 0.2500 0.2500 (multiplicity 8)  4 Pd 3.02, 4 Eu 3.02

Computed properties:
Its energy above the most stable polymorph in this dataset is 0.070 eV/atom. Its crystal system is cubic. Its magnetic moment is 1.717 μB per atom. As for the density of states at the Fermi level: 3.63 states/eV per atom. The energy relative to the elements is -44.1 kJ/mol of atoms.


[6]
A geometry-optimized Rb4LaNd3Te8 structure. Source: Alexandria, functional PBE.

a b c (Å): 9.3491 9.3491 25.6919
angles (deg): 90.00 90.00 120.00
Last column: nearest neighbours and their distance in Å.
Space group R-3m (No. 166, hexagonal axes)
Unique sites:
1 Rb 0.0000 0.0000 0.0000 (multiplicity 3)  6 Te 3.67
2 Rb 0.0000 0.5000 0.0000 (multiplicity 9)  6 Te 3.70
3 La 0.0000 0.0000 0.5000 (multiplicity 3)  6 Te 3.25
4 Nd 0.0000 0.5000 0.5000 (multiplicity 9)  6 Te 3.21-3.22
5 Te 0.0000 0.0000 0.2349 (multiplicity 6)  3 Nd 3.22
6 Te 0.0033 0.5017 0.7648 (multiplicity 18)  2 Nd 3.21, 1 La 3.25

Computed properties:
The uncorrected formation energy comes out at -1.429 eV per atom. Its crystal system is trigonal. Its magnetic moment is 0.000 μB per atom.